Below is YMnCo2B after structural relaxation, with properties calculated at the GGA-PBE level.

Cell and atoms, written as POSCAR:
```
YMnCo2B
1.0
4.6001 0.0000 0.0000
0.0000 4.6497 0.0000
0.0000 0.0000 4.6001
Y Co B Mn
1 2 1 1
Direct
0.0000 0.0000 0.0000
0.0000 0.0000 0.5000
0.5000 0.0000 0.0000
0.5000 0.5000 0.5000
0.0000 0.5000 0.0000
```

Symmetry: No. 123
Energy relative to the lowest polymorph listed for this composition: 1438 kJ/mol of formula units

Below is MnZnCo2B after structural relaxation, with properties calculated at the GGA-PBE level.

Cell and atoms, written as POSCAR:
```
MnZnCo2B
1.0
-1.0520 -3.9330 0.8963
1.0602 0.6241 3.9830
-3.5661 1.1299 0.7722
Zn B Co Mn
1 1 2 1
Direct
0.5000 0.5000 0.5000
0.0000 0.0000 0.5000
0.0000 0.5000 0.0000
0.5000 0.0000 0.0000
0.0000 0.0000 0.0000
```

Symmetry: No. 123

Below is CoBMo2 after structural relaxation, with properties calculated at the GGA-PBE level.

Cell and atoms, written as POSCAR:
```
CoBMo2
1.0
6.2096 0.0000 0.0000
0.0000 6.2096 0.0000
3.1048 3.1048 2.6489
Mo Co B
4 2 2
Direct
0.1570 0.6250 0.2500
0.5930 0.1250 0.2500
0.8750 0.8430 0.7500
0.3750 0.4070 0.7500
0.0000 0.0000 0.0000
0.7500 0.2500 0.5000
0.5000 0.5000 0.0000
0.2500 0.7500 0.5000
```

Symmetry: No. 122

Below is CoBMo3 after structural relaxation, with properties calculated at the GGA-PBE level.

Cell and atoms, written as POSCAR:
```
CoBMo3
1.0
-3.1946 0.8297 2.4790
-0.7021 -4.0429 0.4483
2.5181 -0.0747 3.2700
Mo Co B
3 1 1
Direct
0.0000 0.0000 0.5000
0.5000 0.0000 0.0000
0.0000 0.5000 0.0000
0.5000 0.5000 0.5000
0.0000 0.0000 0.0000
```

Symmetry: No. 221
Energy relative to the lowest polymorph listed for this composition: 0 kJ/mol of formula units

These records have ΔE_f values of 14.03; 5.64; 1.46; 1.88 eV per formula unit, in the order they appear.
These records have size of the total moment values of 1.80; 0.00; 0.00; 0.00 Bohr magnetons per cell, in the order they appear.